DFT (GGA-PBE) results for a relaxed Re3PtN crystal.

```
Re3PtN
1.0
4.0629 0.0000 0.0000
0.0000 4.0629 0.0000
0.0000 0.0000 4.0629
Re N Pt
3 1 1
direct
0.0000 0.5000 0.0000
0.0000 0.0000 0.5000
0.5000 0.0000 0.0000
0.0000 0.0000 0.0000
0.5000 0.5000 0.5000
```

Computed properties:
symmetry = Pm-3m (221)
energy relative to the elements, uncorrected = 0.1843 eV per atom
final energy = -50.79 eV for the cell shown
excess energy over the best structure of this formula in the dataset = 0.00 eV per formula unit

***

DFT (GGA-PBE) results for a relaxed Rb2Sn2I7 crystal.

```
Rb2Sn2I7
1.0
8.9261 0.4604 2.6906
0.3541 9.2582 -0.3149
1.6283 -0.4604 9.1795
Rb Sn I
2 2 7
direct
0.3311 0.5000 0.3311
0.6689 0.5000 0.6689
0.2645 0.1385 0.7355
0.7355 0.8615 0.2645
0.0000 0.0000 0.0000
0.9528 0.6711 0.3345
0.3345 0.3289 0.9528
0.6655 0.6711 0.0472
0.0472 0.3289 0.6655
0.4377 0.7885 0.5623
0.5623 0.2115 0.4377
```

Computed properties:
symmetry = C2/m (12)
energy relative to the elements, uncorrected = -0.7598 eV per atom
final energy = -29.15 eV for the cell shown
excess energy over the best structure of this formula in the dataset = 0.00 eV per formula unit

***

DFT (GGA-PBE) results for a relaxed CsScBeSe2 crystal.

```
CsScBeSe2
1.0
5.2470 0.0000 0.0000
0.0000 4.6798 0.0000
0.0000 0.0000 5.2470
Sc Se Cs Be
1 2 1 1
direct
0.0000 0.5000 0.0000
0.5000 0.0000 0.0000
0.0000 0.0000 0.5000
0.5000 0.5000 0.5000
0.0000 0.0000 0.0000
```

Computed properties:
symmetry = P4/mmm (123)
energy relative to the elements, uncorrected = -0.0540 eV per atom
final energy = -18.15 eV for the cell shown

***

DFT (GGA-PBE) results for a relaxed MgBrO2 crystal.

```
MgBrO2
1.0
2.9107 4.3548 -4.6011
-3.0809 -1.3717 6.1018
5.5703 -0.9856 2.5910
Mg Br O
2 2 4
direct
0.3634 0.6366 0.2500
0.6366 0.3634 0.7500
0.9111 0.0889 0.7500
0.0889 0.9111 0.2500
0.2237 0.7763 0.2500
0.7763 0.2237 0.7500
0.0655 0.9345 0.7500
0.9345 0.0655 0.2500
```

Computed properties:
symmetry = Cmcm (63)
energy relative to the elements, uncorrected = -0.8614 eV per atom
final energy = -33.26 eV for the cell shown
excess energy over the best structure of this formula in the dataset = 1.41 eV per formula unit

***

DFT (GGA-PBE) results for a relaxed SrLi3Ag crystal.

```
SrLi3Ag
1.0
5.6621 0.0000 0.0000
0.0000 5.6621 0.0000
0.0000 0.0000 5.6621
Li Sr Ag
3 1 1
direct
0.0000 0.0000 0.5000
0.0000 0.5000 0.0000
0.5000 0.0000 0.0000
0.0000 0.0000 0.0000
0.5000 0.5000 0.5000
```

Computed properties:
symmetry = Pm-3m (221)
final energy = -5.41 eV for the cell shown
excess energy over the best structure of this formula in the dataset = 5.38 eV per formula unit

***

DFT (GGA-PBE) results for a relaxed K2LiTlF6 crystal.

```
K2LiTlF6
1.0
6.0254 0.0000 0.0000
3.0127 5.2182 0.0000
3.0127 1.7394 4.9197
F K Tl Li
6 2 1 1
direct
0.2566 0.7434 0.7434
0.7434 0.2566 0.7434
0.2566 0.2566 0.7434
0.2566 0.7434 0.2566
0.7434 0.2566 0.2566
0.7434 0.7434 0.2566
0.2500 0.2500 0.2500
0.7500 0.7500 0.7500
0.0000 0.0000 0.0000
0.5000 0.5000 0.5000
```

Computed properties:
symmetry = Fm-3m (225)
energy relative to the elements, uncorrected = -2.4823 eV per atom
final energy = -42.53 eV for the cell shown

***

DFT (GGA-PBE) results for a relaxed Li2CuSnH crystal.

```
Li2CuSnH
1.0
-0.0862 -4.0894 0.6057
4.1216 -0.0380 0.3296
-0.2922 0.5569 3.7184
Sn H Li Cu
1 1 2 1
direct
0.5000 0.5000 0.5000
0.0000 0.0000 0.0000
0.5000 0.0000 0.0000
0.0000 0.5000 0.0000
0.0000 0.0000 0.5000
```

Computed properties:
symmetry = P4/mmm (123)
final energy = -16.24 eV for the cell shown
excess energy over the best structure of this formula in the dataset = 0.00 eV per formula unit

***

DFT (GGA-PBE) results for a relaxed Zr2VGeP crystal.

```
Zr2VGeP
1.0
-3.1773 -0.2086 -3.7807
2.9363 -2.1092 -2.3513
-1.7353 -4.3064 1.6959
Ge Zr V P
1 2 1 1
direct
0.5000 0.5000 0.5000
0.5000 0.0000 0.0000
0.0000 0.0000 0.5000
0.0000 0.0000 0.0000
0.0000 0.5000 0.0000
```

Computed properties:
symmetry = P4/mmm (123)
final energy = -34.77 eV for the cell shown

***

DFT (GGA-PBE) results for a relaxed Pr4ErSc crystal.

```
Pr4ErSc
1.0
-1.1137 -5.7207 2.1901
3.4717 -4.7900 -1.9371
2.3128 0.6605 5.7531
Pr Er Sc
4 1 1
direct
0.1621 0.1622 0.4998
0.3344 0.3347 0.9999
0.6656 0.6653 0.0001
0.8379 0.8378 0.5002
0.5000 0.5000 0.5000
0.0000 0.0000 0.0000
```

Computed properties:
symmetry = C2/m (12)
final energy = -29.80 eV for the cell shown
excess energy over the best structure of this formula in the dataset = 0.00 eV per formula unit

***

DFT (GGA-PBE) results for a relaxed Pm3Mg2Pd3 crystal.

```
Pm3Mg2Pd3
1.0
5.8926 0.0000 0.0000
0.0000 7.3896 -4.2664
0.0000 0.0000 8.5328
Pd Mg Pm
6 4 6
direct
0.7500 0.3970 0.3970
0.2500 0.0000 0.3970
0.7500 0.0000 0.6030
0.2500 0.6030 0.6030
0.7500 0.6030 0.0000
0.2500 0.3970 0.0000
0.0000 0.3333 0.6667
0.5000 0.6667 0.3333
0.5000 0.3333 0.6667
0.0000 0.6667 0.3333
0.2500 0.2648 0.2648
0.7500 0.7352 0.7352
0.2500 0.0000 0.7352
0.7500 0.0000 0.2648
0.2500 0.7352 0.0000
0.7500 0.2648 0.0000
```

Computed properties:
symmetry = P6_3/mcm (193)
final energy = -76.67 eV for the cell shown
excess energy over the best structure of this formula in the dataset = 0.00 eV per formula unit

***

DFT (GGA-PBE) results for a relaxed Mg5CdPd crystal.

```
Mg5CdPd
1.0
6.0465 0.0942 0.6984
2.0076 5.7042 0.6984
3.6644 2.6381 9.7600
Mg Cd Pd
10 2 2
direct
0.8807 0.5771 0.7598
0.9379 0.0621 0.7500
0.7483 0.4923 0.5149
0.4923 0.7483 0.0149
0.4229 0.1193 0.7402
0.5077 0.2517 0.9851
0.1193 0.4229 0.2402
0.2517 0.5077 0.4851
0.5771 0.8807 0.2598
0.0621 0.9379 0.2500
0.3458 0.6542 0.7500
0.6542 0.3458 0.2500
0.0000 0.0000 0.5000
0.0000 0.0000 0.0000
```

Computed properties:
symmetry = C2/c (15)
final energy = -28.72 eV for the cell shown
excess energy over the best structure of this formula in the dataset = 1.55 eV per formula unit

***

DFT (GGA-PBE) results for a relaxed CsPPdO2 crystal.

```
CsPPdO2
1.0
-3.2910 -0.8015 2.3432
2.4623 -1.4753 2.9536
0.4845 6.8889 3.0370
Cs P O Pd
1 1 2 1
direct
0.0000 0.0000 0.0000
0.0000 0.0000 0.5000
0.0000 0.5000 0.0000
0.5000 0.0000 0.0000
0.5000 0.5000 0.5000
```

Computed properties:
symmetry = P4/mmm (123)
energy relative to the elements, uncorrected = 1.1291 eV per atom
final energy = -15.73 eV for the cell shown

***

| no. | magnetization (μB/cell) |
| --- | --- |
| 1 | 0.0 |
| 2 | 0.0 |
| 3 | 0.0 |
| 4 | 0.0 |
| 5 | 0.0 |
| 6 | 0.0 |
| 7 | 0.0 |
| 8 | 0.0 |
| 9 | 0.0 |
| 10 | 0.0 |
| 11 | 0.0 |
| 12 | 0.9 |